{"formula": "MgMn2P2O10", "functional": "GGA+U", "state": "relaxed", "total_energy_ev_per_atom": -6.96, "spacegroup": "No. 70", "dos_ef_per_ev_atom": 0.365, "cell": [[0.000, 5.588, 8.224], [3.584, 0.000, 8.224], [3.584, 5.588, 0.000]], "species": ["Mn", "O", "P", "O", "O", "Mn", "Mg", "O", "O", "O", "O", "Mn", "O", "P", "O", "O", "O", "O", "O", "O", "Mn", "P", "Mg", "O", "O", "O", "O", "O", "P", "O"], "frac_coords": [[0.125, 0.125, 0.125], [0.684, 0.837, 0.093], [0.294, 0.294, 0.706], [0.080, 0.080, 0.920], [0.420, 0.784, 0.053], [0.625, 0.125, 0.125], [0.750, 0.750, 0.750], [0.920, 0.920, 0.080], [0.508, 0.197, 0.466], [0.170, 0.170, 0.330], [0.197, 0.508, 0.830], [0.125, 0.125, 0.625], [0.830, 0.466, 0.197], [0.706, 0.706, 0.294], [0.157, 0.864, 0.566], [0.784, 0.420, 0.742], [0.330, 0.330, 0.170], [0.837, 0.684, 0.386], [0.466, 0.830, 0.508], [0.413, 0.566, 0.864], [0.125, 0.625, 0.125], [0.956, 0.956, 0.544], [0.500, 0.500, 0.500], [0.093, 0.386, 0.684], [0.386, 0.093, 0.837], [0.566, 0.413, 0.157], [0.053, 0.742, 0.420], [0.864, 0.157, 0.413], [0.544, 0.544, 0.956], [0.742, 0.053, 0.784]]}